Entry 1:
NaZrInPd | PBE | optimized geometry

Calculated values
* space-group type: F-43m
* E: -4.706 eV/atom
* total magnetic moment: 0.000 μB/atom

```
data_NaZrInPd
_symmetry_space_group_name_H-M 'P 1'
_symmetry_Int_Tables_number 1
_cell_length_a 4.7718
_cell_length_b 4.7718
_cell_length_c 4.7718
_cell_angle_alpha 60.00
_cell_angle_beta 60.00
_cell_angle_gamma 60.00
loop_
_symmetry_equiv_pos_as_xyz
'x,y,z'
loop_
_atom_site_label
_atom_site_fract_x
_atom_site_fract_y
_atom_site_fract_z
Na1 0.0000 0.0000 0.0000
Zr1 0.7500 0.7500 0.7500
In1 0.2500 0.2500 0.2500
Pd1 0.5000 0.5000 0.5000
```

Entry 2:
DyBr2 | PBE | optimized geometry

Calculated values
* space-group type: Fd-3m
* E: -3.745 eV/atom
* total magnetic moment: 0.333 μB/atom

```
data_DyBr2
_symmetry_space_group_name_H-M 'P 1'
_symmetry_Int_Tables_number 1
_cell_length_a 8.8470
_cell_length_b 8.8470
_cell_length_c 8.8470
_cell_angle_alpha 60.00
_cell_angle_beta 60.00
_cell_angle_gamma 60.00
loop_
_symmetry_equiv_pos_as_xyz
'x,y,z'
loop_
_atom_site_label
_atom_site_fract_x
_atom_site_fract_y
_atom_site_fract_z
Dy1 0.1250 0.1250 0.1250
Dy2 0.8750 0.8750 0.8750
Br1 0.0000 0.0000 0.0000
Br2 0.0000 0.0000 0.5000
Br3 0.0000 0.5000 0.0000
Br4 0.5000 0.0000 0.0000
```

Entry 3:
PtSeS | PBE | optimized geometry

Calculated values
* space-group type: Amm2
* E: -4.416 eV/atom
* total magnetic moment: 0.000 μB/atom

```
data_PtSeS
_symmetry_space_group_name_H-M 'P 1'
_symmetry_Int_Tables_number 1
_cell_length_a 3.5514
_cell_length_b 11.4042
_cell_length_c 11.4042
_cell_angle_alpha 148.58
_cell_angle_beta 90.00
_cell_angle_gamma 90.00
loop_
_symmetry_equiv_pos_as_xyz
'x,y,z'
loop_
_atom_site_label
_atom_site_fract_x
_atom_site_fract_y
_atom_site_fract_z
Pt1 0.0000 0.0000 0.0000
Pt2 0.5000 0.4629 0.4629
Se1 0.5000 0.7457 0.8785
Se2 0.5000 0.8785 0.7457
S1 0.0000 0.2555 0.3842
S2 0.0000 0.3842 0.2555
```

Entry 4:
Hf4InB3 | PBE | optimized geometry

Calculated values
* space-group type: P6_3/mmc
* E: -8.265 eV/atom
* total magnetic moment: 0.000 μB/atom

```
data_Hf4InB3
_symmetry_space_group_name_H-M 'P 1'
_symmetry_Int_Tables_number 1
_cell_length_a 3.4128
_cell_length_b 3.4128
_cell_length_c 26.4541
_cell_angle_alpha 90.00
_cell_angle_beta 90.00
_cell_angle_gamma 120.00
loop_
_symmetry_equiv_pos_as_xyz
'x,y,z'
loop_
_atom_site_label
_atom_site_fract_x
_atom_site_fract_y
_atom_site_fract_z
Hf1 0.0000 0.0000 0.1536
Hf2 0.0000 0.0000 0.3464
Hf3 0.0000 0.0000 0.6536
Hf4 0.0000 0.0000 0.8464
Hf5 0.3333 0.6667 0.0543
Hf6 0.3333 0.6667 0.4457
Hf7 0.6667 0.3333 0.5543
Hf8 0.6667 0.3333 0.9457
In1 0.3333 0.6667 0.2500
In2 0.6667 0.3333 0.7500
B1 0.0000 0.0000 0.0000
B2 0.0000 0.0000 0.5000
B3 0.3333 0.6667 0.6075
B4 0.3333 0.6667 0.8925
B5 0.6667 0.3333 0.1075
B6 0.6667 0.3333 0.3925
```

Entry 5:
HoLuSi4Ni2 | PBE | optimized geometry

Calculated values
* space-group type: Amm2
* E: -6.054 eV/atom
* total magnetic moment: 0.000 μB/atom

```
data_HoLuSi4Ni2
_symmetry_space_group_name_H-M 'P 1'
_symmetry_Int_Tables_number 1
_cell_length_a 3.9362
_cell_length_b 8.4431
_cell_length_c 8.4431
_cell_angle_alpha 26.93
_cell_angle_beta 90.00
_cell_angle_gamma 90.00
loop_
_symmetry_equiv_pos_as_xyz
'x,y,z'
loop_
_atom_site_label
_atom_site_fract_x
_atom_site_fract_y
_atom_site_fract_z
Ho1 0.0000 0.0000 0.0000
Lu1 0.5000 0.2105 0.2105
Si1 0.0000 0.3546 0.3546
Si2 0.0000 0.6449 0.6449
Si3 0.5000 0.5658 0.5658
Si4 0.5000 0.8541 0.8541
Ni1 0.0000 0.7808 0.7808
Ni2 0.5000 0.4284 0.4284
```

Entry 6:
Ta4TlBiN2 | PBE | optimized geometry

Calculated values
* space-group type: P-6m2
* E: -8.986 eV/atom
* total magnetic moment: 0.000 μB/atom

```
data_Ta4TlBiN2
_symmetry_space_group_name_H-M 'P 1'
_symmetry_Int_Tables_number 1
_cell_length_a 3.3057
_cell_length_b 3.3057
_cell_length_c 13.7825
_cell_angle_alpha 90.00
_cell_angle_beta 90.00
_cell_angle_gamma 120.00
loop_
_symmetry_equiv_pos_as_xyz
'x,y,z'
loop_
_atom_site_label
_atom_site_fract_x
_atom_site_fract_y
_atom_site_fract_z
Ta1 0.0000 0.0000 0.1710
Ta2 0.0000 0.0000 0.8290
Ta3 0.6667 0.3333 0.3262
Ta4 0.6667 0.3333 0.6738
Tl1 0.6667 0.3333 0.0000
Bi1 0.0000 0.0000 0.5000
N1 0.3333 0.6667 0.2503
N2 0.3333 0.6667 0.7497
```

Entry 7:
NaAcOs | PBE | optimized geometry

Calculated values
* space-group type: F-43m
* E: -4.906 eV/atom
* total magnetic moment: 0.000 μB/atom

```
data_NaAcOs
_symmetry_space_group_name_H-M 'P 1'
_symmetry_Int_Tables_number 1
_cell_length_a 4.8627
_cell_length_b 4.8627
_cell_length_c 4.8627
_cell_angle_alpha 60.00
_cell_angle_beta 60.00
_cell_angle_gamma 60.00
loop_
_symmetry_equiv_pos_as_xyz
'x,y,z'
loop_
_atom_site_label
_atom_site_fract_x
_atom_site_fract_y
_atom_site_fract_z
Na1 0.0000 0.0000 0.0000
Ac1 0.5000 0.5000 0.5000
Os1 0.7500 0.7500 0.7500
```

Entry 8:
TaBiPb | PBE | optimized geometry

Calculated values
* space-group type: F-43m
* E: -5.710 eV/atom
* total magnetic moment: 0.307 μB/atom

```
data_TaBiPb
_symmetry_space_group_name_H-M 'P 1'
_symmetry_Int_Tables_number 1
_cell_length_a 4.9548
_cell_length_b 4.9548
_cell_length_c 4.9548
_cell_angle_alpha 60.00
_cell_angle_beta 60.00
_cell_angle_gamma 60.00
loop_
_symmetry_equiv_pos_as_xyz
'x,y,z'
loop_
_atom_site_label
_atom_site_fract_x
_atom_site_fract_y
_atom_site_fract_z
Ta1 0.0000 0.0000 0.0000
Bi1 0.7500 0.7500 0.7500
Pb1 0.2500 0.2500 0.2500
```

What is the formula in the first record?
NaZrInPd

E of number 6 (Ta4TlBiN2)?
-8.986 eV/atom

Please write out number 3 again, unchanged.
PtSeS | PBE | optimized geometry

Calculated values
* space-group type: Amm2
* E: -4.416 eV/atom
* total magnetic moment: 0.000 μB/atom

```
data_PtSeS
_symmetry_space_group_name_H-M 'P 1'
_symmetry_Int_Tables_number 1
_cell_length_a 3.5514
_cell_length_b 11.4042
_cell_length_c 11.4042
_cell_angle_alpha 148.58
_cell_angle_beta 90.00
_cell_angle_gamma 90.00
loop_
_symmetry_equiv_pos_as_xyz
'x,y,z'
loop_
_atom_site_label
_atom_site_fract_x
_atom_site_fract_y
_atom_site_fract_z
Pt1 0.0000 0.0000 0.0000
Pt2 0.5000 0.4629 0.4629
Se1 0.5000 0.7457 0.8785
Se2 0.5000 0.8785 0.7457
S1 0.0000 0.2555 0.3842
S2 0.0000 0.3842 0.2555
```